The following is a GGA-PBE calculation of Sr4Th3PaN8 after structural relaxation, from Alexandria.

Output
The energy relative to the elements, uncorrected is -1.338 eV/atom. The value obtained for the calculated total energy is -7.906 eV/atom.

Cell lengths 7.409, 7.423, 7.409 Å; angles 119.94, 120.00, 90.00 degrees
Positions (direct):
Th1 0.500 0.500 0.500
Sr1 0.500 0.000 0.500
N1 0.735 0.706 0.471
N2 0.226 0.703 0.452
N3 0.774 0.297 0.024
N4 0.750 0.703 0.976
Th2 0.500 0.500 0.000
N5 0.226 0.703 0.976
N6 0.774 0.297 0.548
N7 0.265 0.294 0.529
Sr2 0.000 0.000 0.500
N8 0.250 0.297 0.024
Sr3 0.000 0.000 0.000
Pa1 0.000 0.500 0.000
Sr4 0.500 0.000 0.000
Th3 0.000 0.500 0.500